Material: LiAcSc
Method: DFT, GGA-PBE
State: relaxed

abc: 3.824 3.824 11.882
angles: 90.00 90.00 90.00
Fractional coordinates of all 6 atoms:
Li  0.000  0.000  0.000
Li  0.500  0.500  0.500
Ac  0.000  0.000  0.682
Ac  0.500  0.500  0.182
Sc  0.000  0.000  0.380
Sc  0.500  0.500  0.880

* DOS at the Fermi energy: 0.883 states/eV/atom
* formation enthalpy at 0 K: 0.137 eV/atom
* E: -3.981 eV/atom
* E above lowest polymorph: 0.0 meV per atom
* calculated volume: 29.0 A^3/atom